A plane-wave DFT calculation with PBE was carried out for an optimized crystal structure of Na5SeI2Br.

a b c (Å): 5.3029 7.6066 9.1256
angles (deg): 114.63 106.89 90.00
Atoms (fractional coordinates):
Na  0.3723  0.6220  0.7445
Na  0.6277  0.3780  0.2555
Na  0.0000  0.0000  0.0000
Se  0.5000  0.0000  0.0000
Na  0.6277  0.8775  0.2555
I  0.2190  0.2190  0.4380
Br  0.0000  0.5000  0.0000
I  0.7810  0.7810  0.5620
Na  0.3723  0.1225  0.7445

space-group type: Immm, No. 71
ρ: 2.8 g/cm³
ΔE_f (raw): -1140.0 meV/atom

A plane-wave DFT calculation with PBE was carried out for an optimized crystal structure of AcPuAgPb.

a b c (Å): 5.5740 5.5740 5.5740
angles (deg): 60.00 60.00 60.00
Last column: magnetic moment on the atom in μB.
Atoms (fractional coordinates):
Ac  0.5000  0.5000  0.5000  0.10
Ag  0.2500  0.2500  0.2500  0.03
Pu  0.0000  0.0000  0.0000  5.59
Pb  0.7500  0.7500  0.7500  -0.05

ΔH_f (0 K): -175 meV/atom
space-group type: F-43m, No. 216
ρ: 10.7 g/cm³

A plane-wave DFT calculation with PBE was carried out for an optimized crystal structure of HoThCBr.

a b c (Å): 3.6499 3.6562 7.8482
angles (deg): 89.99 103.39 120.12
Atoms (fractional coordinates):
Ho  0.5140  0.1549  0.6841
Th  0.0884  0.9424  0.0460
C  0.2934  0.5444  0.8536
Br  0.9822  0.3891  0.3860

space-group type: Cm, No. 8
ρ: 9.3 g/cm³
ΔE_f (raw): -885.7 meV/atom

no.,V (Å³/f.u.)
1,317.1
2,122.5
3,87.3